# BaCo2Ag

A relaxed structure of BaCo2Ag (PBE-GGA, the Alexandria database).

a = 5.2296 Å, b = 5.2296 Å, c = 5.2296 Å
α = 130.32°, β = 130.32°, γ = 72.90°
Element x y z (fractional)
Ba 0.0000 0.0000 0.0000
Co 0.2500 0.7500 0.5000
Co 0.7500 0.2500 0.5000
Ag 0.5000 0.5000 0.0000

Values from the calculation:
The value obtained for the volume is 20.3 A^3/atom. For the density of states at the Fermi level, the calculation gives 8.30 states/eV/cell. Its magnetic moment is 2.817 μB/f.u. As for the space group: I4/mmm, No. 139. The calculation puts the calculated formation energy at 0.89 eV per atom.